A plane-wave DFT calculation with GGA+U was carried out for a relaxed structure of LiMn3Al2H6O12.

Geometry as CIF:
```
data_LiMn3Al2H6O12
_cell_length_a 5.107
_cell_length_b 5.107
_cell_length_c 9.677
_cell_angle_alpha 84.93
_cell_angle_beta 84.93
_cell_angle_gamma 119.98
_symmetry_space_group_name_H-M 'P 1'
_symmetry_Int_Tables_number 1
_symmetry_space_group_name_Hall 'P 1'
loop_
_atom_site_label
_atom_site_fract_x
_atom_site_fract_y
_atom_site_fract_z
Li1 0.500 0.500 0.500
Mn1 0.000 0.000 0.000
Mn2 0.666 0.334 0.000
Mn3 0.334 0.666 0.000
Al1 0.167 0.833 0.500
Al2 0.833 0.167 0.500
H1 0.221 0.221 0.293
H2 0.922 0.567 0.293
H3 0.567 0.922 0.293
H4 0.433 0.078 0.707
H5 0.078 0.433 0.707
H6 0.779 0.779 0.707
O1 0.172 0.172 0.396
O2 0.307 0.307 0.103
O3 0.898 0.535 0.396
O4 0.965 0.626 0.103
O5 0.535 0.898 0.396
O6 0.626 0.965 0.103
O7 0.374 0.035 0.897
O8 0.465 0.102 0.604
O9 0.035 0.374 0.897
O10 0.102 0.465 0.604
O11 0.693 0.693 0.897
O12 0.828 0.828 0.604
```

Summary:
space group: C2/m (12)
excess energy over the best structure of this formula in the dataset: 0.40 eV per formula unit
calculated total energy: -6.315 eV per atom
calculated volume: 215.2 Å³ per cell
spin magnetization: 0.33 μB per atom